1.
An optimized crystal structure of Sc6P2PbSe3. Source: Alexandria, functional PBE.

Results
SG: No. 12
ΔE_f (raw): -1376 meV/atom

a b c (Å): 3.8331 7.9368 8.7244
angles (deg): 102.87 102.69 90.00
Last column: nearest neighbours and their distance in Å.
Element x y z (fractional)
Sc  0.3252  0.8872  0.6504  2 P 2.64, 3 Se 2.69-2.91, 1 Pb 2.91
Sc  0.6745  0.5722  0.3491  3 P 2.60-2.65, 3 Se 2.86-2.89
Sc  0.6748  0.1128  0.3496  2 P 2.64, 3 Se 2.69-2.91, 1 Pb 2.91
Sc  0.0093  0.2713  0.0186  1 P 2.64, 3 Se 2.67-2.86, 2 Pb 2.86
Sc  0.9907  0.7287  0.9814  1 P 2.64, 3 Se 2.67-2.86, 2 Pb 2.86
Sc  0.3255  0.4278  0.6509  3 P 2.60-2.65, 3 Se 2.86-2.89
P  0.8315  0.6613  0.6630  6 Sc 2.60-2.65
P  0.1685  0.3387  0.3370  6 Sc 2.60-2.65
Pb  0.5000  0.0000  0.0000  6 Sc 2.86-2.91
Se  0.5000  0.5000  0.0000  6 Sc 2.67-2.89
Se  0.8368  0.1671  0.6736  6 Sc 2.69-2.91
Se  0.1632  0.8329  0.3264  6 Sc 2.69-2.91



2.
An optimized crystal structure of Pm6Br2N3. Source: Alexandria, functional PBE.

Results
SG: No. 12
ΔE_f (raw): -1257 meV/atom

a b c (Å): 6.4248 6.4221 7.2942
angles (deg): 81.59 72.99 59.99
Last column: nearest neighbours and their distance in Å.
Element x y z (fractional)
Pm  0.3954  0.6744  0.8131  3 N 2.49-2.53
Pm  0.7220  0.0000  0.8095  3 N 2.52-2.56
Pm  0.0698  0.3256  0.8131  3 N 2.49-2.53
Pm  0.2780  0.0000  0.1905  3 N 2.52-2.56
Pm  0.6046  0.3256  0.1869  3 N 2.49-2.53
Pm  0.9302  0.6744  0.1869  3 N 2.49-2.53
Br  0.1673  0.6655  0.5000  6 Pm 3.06-3.07
Br  0.8327  0.3345  0.5000  6 Pm 3.06-3.07
N  0.0000  0.0000  0.0000  6 Pm 2.49-2.56
N  0.3313  0.3375  0.0000  6 Pm 2.49-2.53
N  0.6687  0.6625  0.0000  6 Pm 2.49-2.53



3.
An optimized crystal structure of YTm2Ag6. Source: Alexandria, functional PBE.

Results
SG: No. 15
Formation energy from the elements: -0.220 eV per atom

a b c (Å): 5.2779 8.8309 8.8309
angles (deg): 75.38 81.69 81.69
Last column: nearest neighbours and their distance in Å.
Element x y z (fractional)
Y  0.2500  0.1254  0.8746  10 Ag 3.05-3.14
Y  0.7500  0.8746  0.1254  10 Ag 3.05-3.14
Tm  0.4154  0.5423  0.7912  10 Ag 3.01-3.10
Tm  0.0846  0.2088  0.4577  10 Ag 3.01-3.10
Tm  0.5846  0.4577  0.2088  10 Ag 3.01-3.10
Tm  0.9154  0.7912  0.5423  10 Ag 3.01-3.10
Ag  0.4724  0.6780  0.4329  5 Ag 3.02-3.11, 4 Tm 3.04-3.08, 1 Y 3.12
Ag  0.0276  0.5671  0.3220  5 Ag 3.02-3.11, 4 Tm 3.04-3.08, 1 Y 3.12
Ag  0.5276  0.3220  0.5671  5 Ag 3.02-3.11, 4 Tm 3.04-3.08, 1 Y 3.12
Ag  0.9724  0.4329  0.6780  5 Ag 3.02-3.11, 4 Tm 3.04-3.08, 1 Y 3.12
Ag  0.6412  0.0990  0.3501  4 Tm 3.01-3.10, 5 Ag 3.02-3.14, 1 Y 3.09
Ag  0.8588  0.6499  0.9010  4 Tm 3.01-3.10, 5 Ag 3.02-3.14, 1 Y 3.09
Ag  0.3588  0.9010  0.6499  4 Tm 3.01-3.10, 5 Ag 3.02-3.14, 1 Y 3.09
Ag  0.1412  0.3501  0.0990  4 Tm 3.01-3.10, 5 Ag 3.02-3.14, 1 Y 3.09
Ag  0.3070  0.7592  0.0149  2 Tm 3.03-3.08, 5 Ag 3.04-3.14, 3 Y 3.05-3.14
Ag  0.1930  0.9851  0.2408  2 Tm 3.03-3.08, 5 Ag 3.04-3.14, 3 Y 3.05-3.14
Ag  0.6930  0.2408  0.9851  2 Tm 3.03-3.08, 5 Ag 3.04-3.14, 3 Y 3.05-3.14
Ag  0.8070  0.0149  0.7592  2 Tm 3.03-3.08, 5 Ag 3.04-3.14, 3 Y 3.05-3.14



4.
An optimized crystal structure of TbY4Ho5. Source: Alexandria, functional PBE.

Results
SG: No. 107
Polymorph energy (0 for the lowest one): 0.1927 eV/atom
Formation energy from the elements: 0.253 eV per atom

a b c (Å): 5.8902 8.0220 8.0220
angles (deg): 82.25 68.46 68.46
Last column: nearest neighbours and their distance in Å.
Element x y z (fractional)
Tb  0.2149  0.0000  0.0000  1 Ho 2.77
Y  0.4519  0.3217  0.6781  3 Ho 3.29-3.66, 1 Tb 3.67
Y  0.7736  0.6781  0.6783  3 Ho 3.29-3.66, 1 Tb 3.67
Y  0.1300  0.3219  0.3217  3 Ho 3.29-3.66, 1 Tb 3.67
Y  0.4516  0.6783  0.3219  3 Ho 3.29-3.66, 1 Tb 3.67
Ho  0.7622  0.3767  0.0003  1 Tb 3.21, 3 Ho 3.22-3.47, 2 Y 3.29
Ho  0.1389  0.0003  0.6233  1 Tb 3.21, 3 Ho 3.22-3.47, 2 Y 3.29
Ho  0.7625  0.9997  0.3767  1 Tb 3.21, 3 Ho 3.22-3.47, 2 Y 3.29
Ho  0.1392  0.6233  0.9997  1 Tb 3.21, 3 Ho 3.22-3.47, 2 Y 3.29
Ho  0.6856  0.0000  0.0000  1 Tb 2.77



5.
An optimized crystal structure of Sc3AuN. Source: Alexandria, functional PBE.

Results
SG: No. 99
ΔE_f (raw): -243 meV/atom

a b c (Å): 4.2557 4.2557 7.2259
angles (deg): 90.00 90.00 90.00
Last column: nearest neighbours and their distance in Å.
Element x y z (fractional)
Sc  0.0000  0.0000  0.7901  1 Au 2.72
Sc  0.5000  0.0000  0.4252  2 N 2.14
Sc  0.0000  0.5000  0.4252  2 N 2.14
Au  0.0000  0.0000  0.1671  5 Sc 2.72-2.83
N  0.5000  0.5000  0.4560  4 Sc 2.14



6.
An optimized crystal structure of Zr5Te. Source: Alexandria, functional PBE.

Results
SG: No. 12
Polymorph energy (0 for the lowest one): 0.0000 eV/atom
ΔE_f (raw): -229 meV/atom

a b c (Å): 6.2176 6.2176 6.4771
angles (deg): 74.44 74.44 34.92
Last column: nearest neighbours and their distance in Å.
Element x y z (fractional)
Zr  0.3306  0.3306  0.3324  8 Zr 3.08-3.25, 2 Te 3.12
Zr  0.6694  0.6694  0.6676  8 Zr 3.08-3.25, 2 Te 3.12
Zr  0.6609  0.6609  0.1739  8 Zr 3.05-3.25, 2 Te 3.10
Zr  0.0000  0.0000  0.5000  8 Zr 3.05-3.15, 2 Te 3.24
Zr  0.3391  0.3391  0.8261  8 Zr 3.05-3.25, 2 Te 3.10
Te  0.0000  0.0000  0.0000  10 Zr 3.10-3.24



7.
An optimized crystal structure of Li2CoW. Source: Alexandria, functional PBE.

Results
SG: No. 123
Polymorph energy (0 for the lowest one): 0.1390 eV/atom
Formation energy from the elements: 0.415 eV per atom

a b c (Å): 4.5941 3.4043 3.4043
angles (deg): 90.00 90.00 90.00
Last column: nearest neighbours and their distance in Å.
Element x y z (fractional)
Co  0.5000  0.0000  0.5000  4 W 2.41
Li  0.0000  0.0000  0.0000  4 Li 2.41
Li  0.0000  0.5000  0.5000  4 Li 2.41
W  0.5000  0.5000  0.0000  4 Co 2.41



8.
An optimized crystal structure of Cs3Sn2PbI9. Source: Alexandria, functional PBE.

Results
SG: No. 164
ΔE_f (raw): -958 meV/atom

a b c (Å): 8.9195 8.9195 10.9339
angles (deg): 90.00 90.00 120.00
Last column: nearest neighbours and their distance in Å.
Element x y z (fractional)
Cs  0.3333  0.6667  0.6675  12 I 4.45-4.48
Cs  0.0000  0.0000  0.0000  12 I 4.45-4.46
Cs  0.6667  0.3333  0.3325  12 I 4.45-4.48
Sn  0.3333  0.6667  0.1639  6 I 3.13-3.14
Sn  0.6667  0.3333  0.8361  6 I 3.13-3.14
Pb  0.0000  0.0000  0.5000  6 I 3.19
I  0.8316  0.1684  0.6694  1 Sn 3.13, 1 Pb 3.19
I  0.8316  0.6633  0.6694  1 Sn 3.13, 1 Pb 3.19
I  0.3367  0.1684  0.6694  1 Sn 3.13, 1 Pb 3.19
I  0.6633  0.8316  0.3306  1 Sn 3.13, 1 Pb 3.19
I  0.1684  0.3367  0.3306  1 Sn 3.13, 1 Pb 3.19
I  0.1684  0.8316  0.3306  1 Sn 3.13, 1 Pb 3.19
I  0.5000  0.0000  0.0000  2 Sn 3.14
I  0.0000  0.5000  0.0000  2 Sn 3.14
I  0.5000  0.5000  0.0000  2 Sn 3.14



9.
An optimized crystal structure of Tl2Ge2Bi. Source: Alexandria, functional PBE.

Results
SG: No. 127
Polymorph energy (0 for the lowest one): 0.1074 eV/atom
Formation energy from the elements: 0.299 eV per atom

a b c (Å): 8.9884 8.9884 3.4009
angles (deg): 90.00 90.00 90.00
Last column: nearest neighbours and their distance in Å.
Element x y z (fractional)
Tl  0.3107  0.8107  0.0000  6 Ge 3.16-3.22, 2 Bi 3.27, 2 Tl 3.40
Tl  0.8107  0.6893  0.0000  6 Ge 3.16-3.22, 2 Bi 3.27, 2 Tl 3.40
Tl  0.6893  0.1893  0.0000  6 Ge 3.16-3.22, 2 Bi 3.27, 2 Tl 3.40
Tl  0.1893  0.3107  0.0000  6 Ge 3.16-3.22, 2 Bi 3.27, 2 Tl 3.40
Ge  0.1013  0.6013  0.5000  1 Ge 2.58
Ge  0.6013  0.8987  0.5000  1 Ge 2.58
Ge  0.8987  0.3987  0.5000  1 Ge 2.58
Ge  0.3987  0.1013  0.5000  1 Ge 2.58
Bi  0.0000  0.0000  0.0000  4 Tl 3.27, 2 Bi 3.40
Bi  0.5000  0.5000  0.0000  4 Tl 3.27, 2 Bi 3.40



10.
An optimized crystal structure of LiCa3. Source: Alexandria, functional PBE.

Results
SG: No. 166
Polymorph energy (0 for the lowest one): 0.0342 eV/atom
Formation energy from the elements: 0.066 eV per atom

a b c (Å): 12.0863 12.0863 12.0863
angles (deg): 18.25 18.25 18.25
Last column: nearest neighbours and their distance in Å.
Element x y z (fractional)
Ca  0.7434  0.7434  0.7434  3 Li 3.52, 9 Ca 3.83-3.90
Ca  0.5000  0.5000  0.5000  12 Ca 3.83-3.90
Ca  0.2566  0.2566  0.2566  3 Li 3.52, 9 Ca 3.83-3.90
Li  0.0000  0.0000  0.0000  6 Ca 3.52, 6 Li 3.83



11.
An optimized crystal structure of YMnMo2. Source: Alexandria, functional PBE.

Results
SG: No. 139
Polymorph energy (0 for the lowest one): 0.2697 eV/atom
Formation energy from the elements: 0.514 eV per atom

a b c (Å): 5.4984 5.4984 5.4984
angles (deg): 138.66 138.66 59.90
Last column: nearest neighbours and their distance in Å.
Element x y z (fractional)
Mn  0.7500  0.2500  0.5000  4 Y 2.75, 8 Mo 3.07
Mo  0.0000  0.0000  0.0000  4 Mo 2.75, 4 Mn 3.07, 4 Y 3.07
Mo  0.5000  0.5000  0.0000  4 Mo 2.75, 4 Y 3.07, 4 Mn 3.07
Y  0.2500  0.7500  0.5000  4 Mn 2.75, 8 Mo 3.07



12.
An optimized crystal structure of KHgTe3. Source: Alexandria, functional PBE.

Results
SG: No. 161
Polymorph energy (0 for the lowest one): 0.0000 eV/atom
ΔE_f (raw): -183 meV/atom

a b c (Å): 7.1086 7.1086 7.1086
angles (deg): 80.84 80.84 80.84
Last column: nearest neighbours and their distance in Å.
Element x y z (fractional)
K  0.7443  0.7443  0.7443  2 Hg 3.53-3.54, 6 Te 3.61
K  0.2443  0.2443  0.2443  2 Hg 3.53-3.54, 6 Te 3.61
Hg  0.9947  0.9947  0.9947  6 Te 2.98
Hg  0.4947  0.4947  0.4947  6 Te 2.98
Te  0.1746  0.7440  0.3139  2 Hg 2.98
Te  0.3139  0.1746  0.7440  2 Hg 2.98
Te  0.7440  0.3139  0.1746  2 Hg 2.98
Te  0.6746  0.8139  0.2440  2 Hg 2.98
Te  0.8139  0.2440  0.6746  2 Hg 2.98
Te  0.2440  0.6746  0.8139  2 Hg 2.98



Total DFT energy (no corrections): -79.5; -70.6; -34.5; -50.8; -31.8; -47.3; -22.2; -42.6; -16.4; -7.7; -35.2; -11.7 (eV per formula unit)
Ρ: 5110; 7142; 9109; 6781; 4388; 7046; 8005; 4376; 9223; 1396; 7764; 5961 (kg/m³)